#a
First-principles (PBE) data for crystalline ZrTa2Au at its relaxed geometry, as listed in Alexandria via LeMat-Bulk.

Output
* density of states at the Fermi level: 4.4 states/eV/f.u.
* spin magnetization: 0.00 μB/f.u.
* space group: No. 123

Cell lengths 2.914, 2.914, 9.005 Å; angles 90.00, 90.00, 90.00 degrees
Sites, in units of the cell vectors:
Zr1 0.000 0.000 0.000
Ta1 0.500 0.500 0.265
Ta2 0.500 0.500 0.735
Au1 0.000 0.000 0.500

#b
First-principles (PBE) data for crystalline ZrTa2Au at its relaxed geometry, as listed in Alexandria via LeMat-Bulk.

Output
* density of states at the Fermi level: 4.1 states/eV/f.u.
* spin magnetization: 0.00 μB/f.u.
* space group: No. 35

Cell lengths 3.599, 4.632, 9.146 Å; angles 90.00, 90.00, 90.00 degrees
Sites, in units of the cell vectors:
Zr1 0.000 0.000 0.000
Zr2 0.500 0.500 0.000
Ta1 0.000 0.000 0.501
Ta2 0.000 0.500 0.741
Ta3 0.500 0.000 0.741
Ta4 0.500 0.500 0.501
Au1 0.000 0.500 0.259
Au2 0.500 0.000 0.259

#c
First-principles (PBE) data for crystalline ZrTa2Au at its relaxed geometry, as listed in Alexandria via LeMat-Bulk.

Output
* density of states at the Fermi level: 4.7 states/eV/f.u.
* spin magnetization: 0.00 μB/f.u.
* space group: No. 12

Cell lengths 5.742, 9.772, 2.901 Å; angles 90.00, 111.51, 90.00 degrees
Sites, in units of the cell vectors:
Zr1 0.000 0.000 0.000
Zr2 0.500 0.500 0.000
Ta1 0.250 0.250 0.500
Ta2 0.250 0.750 0.500
Ta3 0.750 0.250 0.500
Ta4 0.750 0.750 0.500
Au1 0.000 0.500 0.000
Au2 0.500 0.000 0.000

#d
First-principles (PBE) data for crystalline ZrTa2Au at its relaxed geometry, as listed in Alexandria via LeMat-Bulk.

Output
* density of states at the Fermi level: 3.4 states/eV/f.u.
* spin magnetization: 0.00 μB/f.u.
* space group: No. 216

Cell lengths 6.711, 6.711, 6.711 Å; angles 90.00, 90.00, 90.00 degrees
Sites, in units of the cell vectors:
Zr1 0.000 0.000 0.000
Zr2 0.000 0.500 0.500
Zr3 0.500 0.000 0.500
Zr4 0.500 0.500 0.000
Ta1 0.000 0.000 0.500
Ta2 0.000 0.500 0.000
Ta3 0.250 0.250 0.750
Ta4 0.250 0.750 0.250
Ta5 0.500 0.000 0.000
Ta6 0.500 0.500 0.500
Ta7 0.750 0.250 0.250
Ta8 0.750 0.750 0.750
Au1 0.250 0.250 0.250
Au2 0.250 0.750 0.750
Au3 0.750 0.250 0.750
Au4 0.750 0.750 0.250

Last place for stability: #a

#a
First-principles (PBE) data for crystalline ZrTa2Au at its relaxed geometry, as listed in Alexandria via LeMat-Bulk.

Output
* density of states at the Fermi level: 5.9 states/eV/f.u.
* spin magnetization: 0.00 μB/f.u.
* space group: No. 225

Cell lengths 6.688, 6.688, 6.688 Å; angles 90.00, 90.00, 90.00 degrees
Sites, in units of the cell vectors:
Zr1 0.000 0.000 0.000
Zr2 0.000 0.500 0.500
Zr3 0.500 0.000 0.500
Zr4 0.500 0.500 0.000
Ta1 0.250 0.250 0.250
Ta2 0.250 0.250 0.750
Ta3 0.250 0.750 0.250
Ta4 0.250 0.750 0.750
Ta5 0.750 0.250 0.250
Ta6 0.750 0.250 0.750
Ta7 0.750 0.750 0.250
Ta8 0.750 0.750 0.750
Au1 0.000 0.000 0.500
Au2 0.000 0.500 0.000
Au3 0.500 0.000 0.000
Au4 0.500 0.500 0.500

#b
First-principles (PBE) data for crystalline ZrTa2Au at its relaxed geometry, as listed in Alexandria via LeMat-Bulk.

Output
* density of states at the Fermi level: 4.5 states/eV/f.u.
* spin magnetization: 0.00 μB/f.u.
* space group: No. 8

Cell lengths 10.067, 2.993, 5.235 Å; angles 90.00, 101.36, 90.00 degrees
Sites, in units of the cell vectors:
Zr1 0.000 0.000 0.000
Zr2 0.500 0.500 0.000
Ta1 0.022 0.500 0.509
Ta2 0.279 0.500 0.330
Ta3 0.522 0.000 0.509
Ta4 0.779 0.000 0.330
Au1 0.251 0.000 0.809
Au2 0.751 0.500 0.809

#c
First-principles (PBE) data for crystalline ZrTa2Au at its relaxed geometry, as listed in Alexandria via LeMat-Bulk.

Output
* density of states at the Fermi level: 4.7 states/eV/f.u.
* spin magnetization: 0.00 μB/f.u.
* space group: No. 65

Cell lengths 5.834, 8.995, 2.918 Å; angles 90.00, 90.00, 90.00 degrees
Sites, in units of the cell vectors:
Zr1 0.000 0.000 0.000
Zr2 0.500 0.500 0.000
Ta1 0.250 0.250 0.500
Ta2 0.250 0.750 0.500
Ta3 0.750 0.250 0.500
Ta4 0.750 0.750 0.500
Au1 0.000 0.500 0.000
Au2 0.500 0.000 0.000

Last place for stability: #a

#a
First-principles (PBE) data for crystalline ZrTa3Au at its relaxed geometry, as listed in Alexandria via LeMat-Bulk.

Output
* density of states at the Fermi level: 6.6 states/eV/f.u.
* spin magnetization: 0.00 μB/f.u.
* space group: No. 221

Cell lengths 4.862, 4.862, 4.862 Å; angles 90.00, 90.00, 90.00 degrees
Sites, in units of the cell vectors:
Zr1 0.000 0.000 0.000
Ta1 0.000 0.000 0.500
Ta2 0.000 0.500 0.000
Ta3 0.500 0.000 0.000
Au1 0.500 0.500 0.500

#b
First-principles (PBE) data for crystalline ZrTa3Au at its relaxed geometry, as listed in Alexandria via LeMat-Bulk.

Output
* density of states at the Fermi level: 8.9 states/eV/f.u.
* spin magnetization: 0.00 μB/f.u.
* space group: No. 221

Cell lengths 4.949, 4.949, 4.949 Å; angles 90.00, 90.00, 90.00 degrees
Sites, in units of the cell vectors:
Zr1 0.000 0.000 0.000
Ta1 0.000 0.500 0.500
Ta2 0.500 0.000 0.500
Ta3 0.500 0.500 0.000
Au1 0.500 0.500 0.500

Last place for stability: #a

#a
First-principles (PBE) data for crystalline Tb2Au3 at its relaxed geometry, as listed in Alexandria via LeMat-Bulk.

Output
* density of states at the Fermi level: 2.9 states/eV/f.u.
* spin magnetization: 0.00 μB/f.u.
* space group: No. 220

Cell lengths 8.690, 8.690, 8.690 Å; angles 109.47, 109.47, 109.47 degrees
Sites, in units of the cell vectors:
Tb1 0.000 0.423 0.500
Tb2 0.000 0.923 0.500
Tb3 0.077 0.077 0.077
Tb4 0.423 0.500 0.000
Tb5 0.500 0.000 0.423
Tb6 0.500 0.000 0.923
Tb7 0.577 0.577 0.577
Tb8 0.923 0.500 0.000
Au1 0.014 0.264 0.750
Au2 0.236 0.250 0.486
Au3 0.250 0.486 0.236
Au4 0.250 0.764 0.514
Au5 0.264 0.750 0.014
Au6 0.486 0.236 0.250
Au7 0.514 0.250 0.764
Au8 0.736 0.986 0.750
Au9 0.750 0.014 0.264
Au10 0.750 0.736 0.986
Au11 0.764 0.514 0.250
Au12 0.986 0.750 0.736

#b
First-principles (PBE) data for crystalline Tb2Au3 at its relaxed geometry, as listed in Alexandria via LeMat-Bulk.

Output
* density of states at the Fermi level: 2.5 states/eV/f.u.
* spin magnetization: 0.00 μB/f.u.
* space group: No. 139

Cell lengths 3.711, 3.711, 16.293 Å; angles 90.00, 90.00, 90.00 degrees
Sites, in units of the cell vectors:
Tb1 0.000 0.000 0.110
Tb2 0.000 0.000 0.890
Tb3 0.500 0.500 0.390
Tb4 0.500 0.500 0.610
Au1 0.000 0.000 0.299
Au2 0.000 0.000 0.500
Au3 0.000 0.000 0.701
Au4 0.500 0.500 0.000
Au5 0.500 0.500 0.201
Au6 0.500 0.500 0.799

Last place for stability: #a

#a
First-principles (PBE) data for crystalline Tb3Te2Au at its relaxed geometry, as listed in Alexandria via LeMat-Bulk.

Output
* density of states at the Fermi level: 6.7 states/eV/f.u.
* spin magnetization: 0.00 μB/f.u.
* space group: No. 71

Cell lengths 4.207, 6.170, 13.327 Å; angles 90.00, 90.00, 90.00 degrees
Sites, in units of the cell vectors:
Tb1 0.000 0.000 0.000
Tb2 0.000 0.000 0.350
Tb3 0.000 0.000 0.650
Tb4 0.500 0.500 0.150
Tb5 0.500 0.500 0.500
Tb6 0.500 0.500 0.850
Te1 0.000 0.500 0.326
Te2 0.000 0.500 0.674
Te3 0.500 0.000 0.174
Te4 0.500 0.000 0.826
Au1 0.000 0.500 0.000
Au2 0.500 0.000 0.500

#b
First-principles (PBE) data for crystalline Tb3Te2Au at its relaxed geometry, as listed in Alexandria via LeMat-Bulk.

Output
* density of states at the Fermi level: 3.9 states/eV/f.u.
* spin magnetization: 0.00 μB/f.u.
* space group: No. 70

Cell lengths 14.268, 13.607, 7.538 Å; angles 79.22, 69.52, 31.26 degrees
Sites, in units of the cell vectors:
Tb1 0.038 0.538 0.193
Tb2 0.104 0.646 0.646
Tb3 0.193 0.731 0.038
Tb4 0.269 0.807 0.462
Tb5 0.354 0.896 0.896
Tb6 0.462 0.962 0.269
Tb7 0.538 0.038 0.731
Tb8 0.646 0.104 0.104
Tb9 0.731 0.193 0.538
Tb10 0.807 0.269 0.962
Tb11 0.896 0.354 0.354
Tb12 0.962 0.462 0.807
Te1 0.128 0.128 0.622
Te2 0.295 0.295 0.455
Te3 0.378 0.378 0.872
Te4 0.455 0.455 0.295
Te5 0.545 0.545 0.705
Te6 0.622 0.622 0.128
Te7 0.705 0.705 0.545
Te8 0.872 0.872 0.378
Au1 0.041 0.041 0.209
Au2 0.209 0.209 0.041
Au3 0.791 0.791 0.959
Au4 0.959 0.959 0.791

Last place for stability: #a

#a
First-principles (PBE) data for crystalline TbThAu at its relaxed geometry, as listed in Alexandria via LeMat-Bulk.

Output
* density of states at the Fermi level: 4.6 states/eV/f.u.
* spin magnetization: 0.00 μB/f.u.
* space group: No. 107

Cell lengths 3.623, 3.623, 12.565 Å; angles 90.00, 90.00, 90.00 degrees
Sites, in units of the cell vectors:
Tb1 0.000 0.000 0.000
Tb2 0.500 0.500 0.500
Th1 0.000 0.000 0.699
Th2 0.500 0.500 0.199
Au1 0.000 0.000 0.361
Au2 0.500 0.500 0.861

#b
First-principles (PBE) data for crystalline TbThAu at its relaxed geometry, as listed in Alexandria via LeMat-Bulk.

Output
* density of states at the Fermi level: 4.6 states/eV/f.u.
* spin magnetization: 0.00 μB/f.u.
* space group: No. 156

Cell lengths 5.018, 5.018, 3.782 Å; angles 90.00, 90.00, 120.00 degrees
Sites, in units of the cell vectors:
Tb1 0.000 0.000 0.000
Th1 0.333 0.667 0.543
Au1 0.667 0.333 0.184

Last place for stability: #b